No. 1
Entry from the Alexandria database: an optimized crystal structure of Ho2ZnGeO6 (PBE-GGA).

The raw formation energy comes out at -2.434 eV/atom.

The space group is P4mm (No. 99) and the conventional cell measures 5.152, 5.152 and 4.863 Å, with angles of 90.00, 90.00 and 90.00 degrees. Symmetry generates all atoms from Ho at (0.000, 0.500, 0.000), Zn at (0.000, 0.000, 0.554), Ge at (0.500, 0.500, 0.597), O at (0.000, 0.000, 0.159), O at (0.260, 0.260, 0.729) and O at (0.500, 0.500, 0.227).

=====

No. 2
Entry from the Alexandria database: an optimized crystal structure of HoZrGe2O8 (PBE-GGA).

The raw formation energy comes out at -2.342 eV/atom.

The space group is I-4m2 (No. 119) and the conventional cell measures 6.945, 6.945 and 6.403 Å, with angles of 90.00, 90.00 and 90.00 degrees. Symmetry generates all atoms from Ho at (0.000, 0.000, 0.000), Zr at (0.000, 0.500, 0.250), Ge at (0.000, 0.000, 0.500), Ge at (0.000, 0.500, 0.750), O at (0.000, 0.192, 0.318) and O at (0.000, 0.319, 0.944).

=====

No. 3
Entry from the Alexandria database: an optimized crystal structure of HoGe2Os (PBE-GGA).

The calculation puts the calculated formation energy at -217 meV per atom.

The space group is R-3m (No. 166, hexagonal axes) and the conventional cell measures 4.6486, 4.6486 and 11.1558 Å, with angles of 90.00, 90.00 and 120.00 degrees. Symmetry generates all atoms from Ho at (0.0000, 0.0000, 0.0000), Ge at (0.0000, 0.0000, 0.2522) and Os at (0.0000, 0.0000, 0.5000).

=====

No. 4
Entry from the Alexandria database: an optimized crystal structure of Ho3Ge2Os (PBE-GGA).

The calculation puts the calculated formation energy at -647 meV per atom.

The space group is Pnma (No. 62) and the conventional cell measures 11.734, 4.197 and 11.147 Å, with angles of 90.00, 90.00 and 90.00 degrees. Symmetry generates all atoms from Ho at (0.055, 0.250, 0.126), Ho at (0.121, 0.750, 0.555), Ho at (0.227, 0.250, 0.794), Ge at (0.009, 0.750, 0.310), Ge at (0.189, 0.750, 0.999) and Os at (0.129, 0.250, 0.371).

=====

No. 5
Entry from the Alexandria database: an optimized crystal structure of HoGeOs (PBE-GGA).

The calculation puts the calculated formation energy at -393 meV per atom.

The space group is P-6m2 (No. 187) and the conventional cell measures 4.3647, 4.3647 and 3.5002 Å, with angles of 90.00, 90.00 and 120.00 degrees. Symmetry generates all atoms from Ho at (0.0000, 0.0000, 0.0000), Ge at (0.3333, 0.6667, 0.5000) and Os at (0.6667, 0.3333, 0.5000).

=====

No. 6
Entry from the Alexandria database: an optimized crystal structure of Ho3Ge3Os2 (PBE-GGA).

The calculation puts the calculated formation energy at -651 meV per atom.

The space group is Cmcm (No. 63) and the conventional cell measures 4.277, 10.805 and 13.854 Å, with angles of 90.00, 90.00 and 90.00 degrees. Symmetry generates all atoms from Ho at (0.000, 0.077, 0.114), Ho at (0.000, 0.352, 0.250), Ge at (0.000, 0.336, 0.750), Ge at (0.000, 0.385, 0.040) and Os at (0.000, 0.213, 0.584).

=====

No. 7
Entry from the Alexandria database: an optimized crystal structure of HoGe3Os (PBE-GGA).

The calculation puts the calculated formation energy at -313 meV per atom.

The space group is Pmn2_1 (No. 31) and the conventional cell measures 6.195, 5.666 and 5.701 Å, with angles of 90.00, 90.00 and 90.00 degrees. Symmetry generates all atoms from Ho at (0.000, 0.139, 0.000), Ge at (0.000, 0.915, 0.550), Ge at (0.234, 0.325, 0.454) and Os at (0.000, 0.616, 0.259).

=====

No. 8
Entry from the Alexandria database: an optimized crystal structure of HoGe2Os2 (PBE-GGA).

The calculation puts the calculated formation energy at -306 meV per atom.

The space group is Fddd (No. 70, origin choice 2) and the conventional cell measures 5.484, 10.221 and 13.618 Å, with angles of 90.00, 90.00 and 90.00 degrees. Symmetry generates all atoms from Ho at (0.125, 0.125, 0.125), Ge at (0.125, 0.316, 0.625) and Os at (0.125, 0.125, 0.515).

=====

Record-wise VASP energy values, in eV per atom: -6.913; -7.511; -6.478; -6.347; -7.201; -6.906; -6.245; -7.561
Record-wise density values, in g/cm3: 7.255; 5.693; 11.941; 10.047; 12.301; 11.342; 9.511; 12.019